[1]
Entry from Alexandria: a relaxed LiVP4O12 crystal (GGA-PBEsol).

```
LiVP4O12
1.0
7.670 -3.643 0.000
7.670 3.643 0.000
-5.142 0.000 8.147
Li V P O
2 2 8 24
direct
0.194 0.806 0.750
0.806 0.194 0.250
0.367 0.633 0.250
0.633 0.367 0.750
0.049 0.210 0.640
0.197 0.532 0.839
0.210 0.049 0.140
0.468 0.803 0.661
0.532 0.197 0.339
0.790 0.951 0.860
0.803 0.468 0.161
0.951 0.790 0.360
0.009 0.836 0.541
0.012 0.258 0.208
0.106 0.706 0.273
0.137 0.362 0.715
0.164 0.991 0.959
0.254 0.533 0.012
0.258 0.012 0.708
0.294 0.894 0.227
0.352 0.507 0.784
0.362 0.137 0.215
0.467 0.746 0.488
0.493 0.648 0.716
0.507 0.352 0.284
0.533 0.254 0.512
0.638 0.863 0.785
0.648 0.493 0.216
0.706 0.106 0.773
0.742 0.988 0.292
0.746 0.467 0.988
0.836 0.009 0.041
0.863 0.638 0.285
0.894 0.294 0.727
0.988 0.742 0.792
0.991 0.164 0.459
```

Output
E_form (uncorrected)	-2.168	eV per atom
space group	C2/c (15)

***

[2]
Entry from Alexandria: a relaxed Zr3AlIr crystal (GGA-PBEsol).

```
Zr3AlIr
1.0
4.977 0.000 0.000
0.000 4.977 0.000
0.000 0.000 4.977
Zr Al Ir
3 1 1
direct
0.000 0.000 0.500
0.000 0.500 0.000
0.500 0.000 0.000
0.500 0.500 0.500
0.000 0.000 0.000
```

Output
formation energy from the elements	183	meV/atom
space group	Pm-3m (221)

***

[3]
Entry from Alexandria: a relaxed PmSbRh2 crystal (GGA-PBEsol).

```
PmSbRh2
1.0
6.657 0.000 0.000
0.000 6.657 0.000
0.000 0.000 6.657
Pm Sb Rh
4 4 8
direct
0.000 0.000 0.000
0.000 0.500 0.500
0.500 0.000 0.500
0.500 0.500 0.000
0.000 0.000 0.500
0.000 0.500 0.000
0.500 0.000 0.000
0.500 0.500 0.500
0.250 0.250 0.250
0.250 0.250 0.750
0.250 0.750 0.250
0.250 0.750 0.750
0.750 0.250 0.250
0.750 0.250 0.750
0.750 0.750 0.250
0.750 0.750 0.750
```

Output
E_form (uncorrected)	-0.611	eV per atom
space group	Fm-3m (225)

***

[4]
Entry from Alexandria: a relaxed Li2CoPt crystal (GGA-PBEsol).

```
Li2CoPt
1.0
3.531 0.000 0.000
0.000 3.531 0.000
0.000 0.000 8.043
Li Co Pt
4 2 2
direct
0.000 0.500 0.250
0.000 0.500 0.750
0.500 0.000 0.250
0.500 0.000 0.750
0.000 0.000 0.000
0.500 0.500 0.500
0.000 0.000 0.500
0.500 0.500 0.000
```

Output
formation energy from the elements	-96	meV/atom
space group	I4/mmm (139)

***

[5]
Entry from Alexandria: a relaxed NaNbO3 crystal (GGA-PBEsol).

```
NaNbO3
1.0
3.978 0.000 0.000
0.000 3.978 0.000
0.000 0.000 3.978
Na Nb O
1 1 3
direct
0.000 0.000 0.000
0.500 0.500 0.500
0.000 0.500 0.500
0.500 0.000 0.500
0.500 0.500 0.000
```

Output
E_form (uncorrected)	-2.389	eV per atom
space group	Pm-3m (221)

***

[6]
Entry from Alexandria: a relaxed Er6Al41Cr6 crystal (GGA-PBEsol).

```
Er6Al41Cr6
1.0
10.779 0.000 0.000
-5.390 9.335 0.000
0.000 0.000 17.231
Er Al Cr
12 82 12
direct
0.000 0.467 0.095
0.000 0.469 0.402
0.000 0.531 0.598
0.000 0.533 0.905
0.467 0.000 0.095
0.467 0.467 0.905
0.469 0.000 0.402
0.469 0.469 0.598
0.531 0.000 0.598
0.531 0.531 0.402
0.533 0.000 0.905
0.533 0.533 0.095
0.000 0.151 0.753
0.000 0.155 0.115
0.000 0.155 0.384
0.000 0.251 0.530
0.000 0.251 0.973
0.000 0.749 0.027
0.000 0.749 0.470
0.000 0.845 0.616
0.000 0.845 0.885
0.000 0.849 0.247
0.149 0.547 0.245
0.149 0.602 0.755
0.151 0.000 0.753
0.151 0.151 0.247
0.155 0.000 0.115
0.155 0.000 0.384
0.155 0.155 0.616
0.155 0.155 0.885
0.160 0.392 0.665
0.160 0.768 0.335
0.168 0.401 0.841
0.168 0.767 0.159
0.232 0.392 0.335
0.232 0.840 0.665
0.233 0.401 0.159
0.233 0.832 0.841
0.247 0.494 0.500
0.247 0.753 0.500
0.251 0.000 0.530
0.251 0.000 0.973
0.251 0.251 0.027
0.251 0.251 0.470
0.252 0.504 0.000
0.252 0.748 0.000
0.333 0.667 0.373
0.333 0.667 0.627
0.392 0.160 0.665
0.392 0.232 0.335
0.398 0.547 0.755
0.398 0.851 0.245
0.401 0.168 0.841
0.401 0.233 0.159
0.453 0.602 0.245
0.453 0.851 0.755
0.494 0.247 0.500
0.496 0.748 0.000
0.504 0.252 0.000
0.506 0.753 0.500
0.547 0.149 0.245
0.547 0.398 0.755
0.599 0.767 0.841
0.599 0.832 0.159
0.602 0.149 0.755
0.602 0.453 0.245
0.608 0.768 0.665
0.608 0.840 0.335
0.667 0.333 0.373
0.667 0.333 0.627
0.748 0.252 0.000
0.748 0.496 0.000
0.749 0.000 0.027
0.749 0.000 0.470
0.749 0.749 0.530
0.749 0.749 0.973
0.753 0.247 0.500
0.753 0.506 0.500
0.767 0.168 0.159
0.767 0.599 0.841
0.768 0.160 0.335
0.768 0.608 0.665
0.832 0.233 0.841
0.832 0.599 0.159
0.840 0.232 0.665
0.840 0.608 0.335
0.845 0.000 0.616
0.845 0.000 0.885
0.845 0.845 0.115
0.845 0.845 0.384
0.849 0.000 0.247
0.849 0.849 0.753
0.851 0.398 0.245
0.851 0.453 0.755
0.000 0.000 0.000
0.000 0.000 0.500
0.000 0.262 0.251
0.000 0.738 0.749
0.262 0.000 0.251
0.262 0.262 0.749
0.333 0.667 0.133
0.333 0.667 0.867
0.667 0.333 0.133
0.667 0.333 0.867
0.738 0.000 0.749
0.738 0.738 0.251
```

Output
formation energy from the elements	-272	meV/atom
space group	P-31m (162)

***

[7]
Entry from Alexandria: a relaxed Ce2WC2 crystal (GGA-PBEsol).

```
Ce2WC2
1.0
5.598 0.000 0.000
0.000 5.598 0.000
0.000 0.000 10.258
Ce W C
8 4 8
direct
0.180 0.180 0.155
0.180 0.180 0.845
0.320 0.680 0.345
0.320 0.680 0.655
0.680 0.320 0.345
0.680 0.320 0.655
0.820 0.820 0.155
0.820 0.820 0.845
0.180 0.180 0.500
0.320 0.680 0.000
0.680 0.320 0.000
0.820 0.820 0.500
0.000 0.000 0.354
0.000 0.000 0.646
0.000 0.500 0.000
0.000 0.500 0.500
0.500 0.000 0.000
0.500 0.000 0.500
0.500 0.500 0.146
0.500 0.500 0.854
```

Output
formation energy from the elements	-288	meV/atom
space group	P4_2/mnm (136)

***

[8]
Entry from Alexandria: a relaxed CrCoNi2 crystal (GGA-PBEsol).

```
CrCoNi2
1.0
5.560 0.000 0.000
0.000 5.560 0.000
0.000 0.000 5.560
Cr Co Ni
4 4 8
direct
0.000 0.000 0.000
0.000 0.500 0.500
0.500 0.000 0.500
0.500 0.500 0.000
0.000 0.000 0.500
0.000 0.500 0.000
0.500 0.000 0.000
0.500 0.500 0.500
0.250 0.250 0.250
0.250 0.250 0.750
0.250 0.750 0.250
0.250 0.750 0.750
0.750 0.250 0.250
0.750 0.250 0.750
0.750 0.750 0.250
0.750 0.750 0.750
```

Output
formation energy from the elements	192	meV/atom
space group	Fm-3m (225)

***

[9]
Entry from Alexandria: a relaxed Al3CuNi crystal (GGA-PBEsol).

```
Al3CuNi
1.0
5.831 0.000 0.000
0.000 5.831 0.000
0.000 0.000 5.831
Al Cu Ni
9 3 3
direct
0.000 0.000 0.000
0.268 0.268 0.268
0.268 0.268 0.732
0.268 0.732 0.268
0.268 0.732 0.732
0.732 0.268 0.268
0.732 0.268 0.732
0.732 0.732 0.268
0.732 0.732 0.732
0.000 0.000 0.500
0.000 0.500 0.000
0.500 0.000 0.000
0.000 0.500 0.500
0.500 0.000 0.500
0.500 0.500 0.000
```

Output
formation energy from the elements	-337	meV/atom
space group	Pm-3m (221)

***

[10]
Entry from Alexandria: a relaxed Sc2HgBr crystal (GGA-PBEsol).

```
Sc2HgBr
1.0
6.346 0.000 0.000
0.000 3.652 0.000
-2.099 0.000 7.436
Sc Hg Br
4 2 2
direct
0.245 0.000 0.237
0.255 0.500 0.763
0.745 0.500 0.237
0.755 0.000 0.763
0.000 0.000 0.500
0.500 0.500 0.500
0.000 0.500 0.000
0.500 0.000 0.000
```

Output
E_form (uncorrected)	-0.634	eV per atom
space group	C2/m (12)

***

[11]
Entry from Alexandria: a relaxed CdHgAu4 crystal (GGA-PBEsol).

```
CdHgAu4
1.0
0.000 3.864 3.864
3.864 0.000 3.864
3.864 3.864 0.000
Cd Hg Au
1 1 4
direct
0.000 0.000 0.000
0.250 0.250 0.250
0.125 0.625 0.625
0.625 0.125 0.625
0.625 0.625 0.125
0.625 0.625 0.625
```

Output
formation energy from the elements	-13	meV/atom
space group	F-43m (216)

***

[12]
Entry from Alexandria: a relaxed BeAuBr2 crystal (GGA-PBEsol).

```
BeAuBr2
1.0
3.248 0.000 0.000
-1.624 2.813 0.000
0.000 0.000 28.058
Be Au Br
3 3 6
direct
0.000 0.000 0.000
0.333 0.667 0.667
0.667 0.333 0.333
0.000 0.000 0.500
0.333 0.667 0.167
0.667 0.333 0.833
0.000 0.000 0.283
0.000 0.000 0.717
0.333 0.667 0.383
0.333 0.667 0.950
0.667 0.333 0.050
0.667 0.333 0.617
```

Output
E_form (uncorrected)	-0.152	eV per atom
space group	R-3m (166)

***

[13]
Entry from Alexandria: a relaxed RhF6 crystal (GGA-PBEsol).

```
RhF6
1.0
9.394 0.000 0.000
0.000 8.591 0.000
0.000 0.000 4.970
Rh F
4 24
direct
0.128 0.250 0.089
0.372 0.750 0.589
0.628 0.250 0.411
0.872 0.750 0.911
0.012 0.250 0.792
0.017 0.099 0.245
0.017 0.401 0.245
0.240 0.099 0.935
0.240 0.401 0.935
0.244 0.250 0.388
0.256 0.750 0.888
0.260 0.599 0.435
0.260 0.901 0.435
0.483 0.599 0.745
0.483 0.901 0.745
0.488 0.750 0.292
0.512 0.250 0.708
0.517 0.099 0.255
0.517 0.401 0.255
0.740 0.099 0.565
0.740 0.401 0.565
0.744 0.250 0.112
0.756 0.750 0.612
0.760 0.599 0.065
0.760 0.901 0.065
0.983 0.599 0.755
0.983 0.901 0.755
0.988 0.750 0.208
```

Output
E_form (uncorrected)	-1.296	eV per atom
space group	Pnma (62)

***

[14]
Entry from Alexandria: a relaxed Na4WO4 crystal (GGA-PBEsol).

```
Na4WO4
1.0
-3.552 3.552 2.437
3.552 -3.552 2.437
3.552 3.552 -2.437
Na W O
4 1 4
direct
0.089 0.300 0.389
0.300 0.911 0.211
0.700 0.089 0.789
0.911 0.700 0.611
0.500 0.500 0.000
0.247 0.582 0.829
0.418 0.247 0.665
0.582 0.753 0.335
0.753 0.418 0.171
```

Output
E_form (uncorrected)	-1.690	eV per atom
space group	I4/m (87)

***

[15]
Entry from Alexandria: a relaxed ScCu4Au crystal (GGA-PBEsol).

```
ScCu4Au
1.0
0.000 3.432 3.432
3.432 0.000 3.432
3.432 3.432 0.000
Sc Cu Au
1 4 1
direct
0.000 0.000 0.000
0.375 0.375 0.375
0.375 0.375 0.874
0.375 0.874 0.375
0.874 0.375 0.375
0.750 0.750 0.750
```

Output
formation energy from the elements	-331	meV/atom
space group	F-43m (216)

***

[16]
Entry from Alexandria: a relaxed LiRe2Pt crystal (GGA-PBEsol).

```
LiRe2Pt
1.0
4.629 0.000 0.000
0.000 4.629 0.000
0.000 0.000 2.644
Li Re Pt
1 2 1
direct
0.000 0.000 0.000
0.000 0.500 0.500
0.500 0.000 0.500
0.500 0.500 0.000
```

Output
formation energy from the elements	526	meV/atom
space group	P4/mmm (123)

***

[17]
Entry from Alexandria: a relaxed Zn3Co5 crystal (GGA-PBEsol).

```
Zn3Co5
1.0
7.017 0.000 0.000
0.000 7.198 0.000
0.000 0.000 3.560
Zn Co
6 10
direct
0.000 0.000 0.000
0.000 0.253 0.500
0.000 0.747 0.500
0.500 0.247 0.500
0.500 0.500 0.000
0.500 0.753 0.500
0.000 0.500 0.000
0.243 0.500 0.500
0.250 0.250 0.000
0.250 0.750 0.000
0.257 0.000 0.500
0.500 0.000 0.000
0.743 0.000 0.500
0.750 0.250 0.000
0.750 0.750 0.000
0.757 0.500 0.500
```

Output
formation energy from the elements	48	meV/atom
space group	Cmmm (65)

***

[18]
Entry from Alexandria: a relaxed CaBr2 crystal (GGA-PBEsol).

```
CaBr2
1.0
4.208 0.000 0.000
0.000 18.534 0.000
0.000 0.000 5.731
Ca Br
4 8
direct
0.000 0.173 0.250
0.000 0.827 0.750
0.500 0.327 0.750
0.500 0.673 0.250
0.000 0.211 0.750
0.000 0.422 0.750
0.000 0.578 0.250
0.000 0.789 0.250
0.500 0.078 0.250
0.500 0.289 0.250
0.500 0.711 0.750
0.500 0.922 0.750
```

Output
E_form (uncorrected)	-1.960	eV per atom
space group	Cmcm (63)

***

Calculated total energy? In order: -273.56; -40.27; -113.66; -38.03; -39.91; -546.37; -190.91; -118.10; -73.35; -36.37; -17.54; -36.82; -115.09; -55.61; -29.85; -33.49; -86.09; -47.02 eV for the cell shown.
Total magnetization? In order: 2.0; 0.0; 0.0; 1.7; 0.0; 1.8; 0.0; 1.1; 0.0; 0.0; 0.0; 0.0; 3.0; 0.0; 0.0; 0.0; 6.6; 0.0 μB per formula unit.